# 1
Material: HoGa4Tc
Method: DFT, PBE
State: relaxed

Cell: 4.704 5.909 7.569 Å, 90.00 90.00 90.00°
Space group Immm (No. 71)
Unique sites:
Ho: 0.000 0.000 0.000
Ga: 0.000 0.227 0.336
Tc: 0.000 0.500 0.000

## Properties
Its distance to the lowest polymorph of the same formula is 0.109 eV/atom. The value obtained for the density of states at the Fermi level is 7.5 states/eV per cell. The value obtained for the electronic total energy is -4.64 eV per atom. As for the total magnetic moment: 0.0 Bohr magnetons per cell. The energy of formation from the pure elements comes out at -0.135 eV per atom. The crystal system is orthorhombic.

***

# 2
Material: Na4Hg15Bi
Method: DFT, PBE
State: relaxed

Cell: 4.536 4.536 25.257 Å, 90.00 90.00 90.00°
Space group P4/mmm (No. 123)
Unique sites:
Na: 0.000 0.000 0.099
Na: 0.000 0.000 0.298
Hg: 0.000 0.500 0.000
Hg: 0.000 0.500 0.197
Hg: 0.000 0.500 0.394
Hg: 0.500 0.500 0.095
Hg: 0.500 0.500 0.295
Hg: 0.500 0.500 0.500
Bi: 0.000 0.000 0.500

## Properties
The value obtained for the density of states at the Fermi level is 6.5 states/eV per cell. The value obtained for the electronic total energy is -0.81 eV per atom. As for the total magnetic moment: 0.0 Bohr magnetons per cell. The energy of formation from the pure elements comes out at -0.130 eV per atom. The crystal system is tetragonal.

***

# 3
Material: Ca2YIn2
Method: DFT, PBE
State: relaxed

Cell: 6.768 5.354 16.196 Å, 90.00 90.00 90.00°
Space group Pnma (No. 62)
Unique sites:
Ca: 0.035 0.250 0.145
Ca: 0.178 0.250 0.731
Y: 0.152 0.750 0.453
In: 0.053 0.250 0.349
In: 0.141 0.750 0.043

## Properties
Its distance to the lowest polymorph of the same formula is 0.000 eV/atom. The value obtained for the density of states at the Fermi level is 13.9 states/eV per cell. The value obtained for the electronic total energy is -3.59 eV per atom. As for the total magnetic moment: 0.0 Bohr magnetons per cell. The energy of formation from the pure elements comes out at -0.399 eV per atom. The crystal system is orthorhombic.

***

# 4
Material: Sc4BiTe5
Method: DFT, PBE
State: relaxed

Cell: 18.080 4.107 8.529 Å, 90.00 102.88 90.00°
Space group C2/m (No. 12)
Unique sites:
Sc: 0.004 0.000 0.261
Sc: 0.173 0.500 0.095
Bi: 0.000 0.500 0.000
Te: 0.000 0.500 0.500
Te: 0.163 0.000 0.841
Te: 0.166 0.000 0.329

## Properties
The value obtained for the density of states at the Fermi level is 6.3 states/eV per cell. The value obtained for the electronic total energy is -5.50 eV per atom. As for the total magnetic moment: 0.0 Bohr magnetons per cell. The crystal system is monoclinic.

***

# 5
Material: Zr2HRh
Method: DFT, PBE
State: relaxed

Cell: 6.200 6.200 6.671 Å, 90.00 90.00 90.00°
Space group I-42d (No. 122)
Unique sites:
Zr: 0.180 0.250 0.125
H: 0.000 0.000 0.000
Rh: 0.000 0.000 0.500

## Properties
Its distance to the lowest polymorph of the same formula is 0.000 eV/atom. The value obtained for the density of states at the Fermi level is 11.4 states/eV per cell. The value obtained for the electronic total energy is -7.35 eV per atom. As for the total magnetic moment: 0.0 Bohr magnetons per cell. The crystal system is tetragonal.

***

# 6
Material: Y5PuRu6
Method: DFT, PBE
State: relaxed

Cell: 4.810 14.422 6.822 Å, 90.00 90.00 90.00°
Space group Cmmm (No. 65)
Unique sites:
Y: 0.000 0.000 0.000
Y: 0.000 0.331 0.500
Y: 0.000 0.333 0.000
Pu: 0.000 0.000 0.500
Ru: 0.000 0.159 0.260
Ru: 0.000 0.500 0.266

## Properties
The value obtained for the density of states at the Fermi level is 22.0 states/eV per cell. The value obtained for the electronic total energy is -8.81 eV per atom. As for the total magnetic moment: 6.1 Bohr magnetons per cell. The energy of formation from the pure elements comes out at -0.288 eV per atom. The crystal system is orthorhombic.

***

# 7
Material: Tb3PrNd4
Method: DFT, PBE
State: relaxed

Cell: 11.745 7.372 6.366 Å, 90.00 90.00 90.00°
Space group Pmn2_1 (No. 31)
Unique sites:
Tb: 0.000 0.123 0.000
Tb: 0.250 0.123 0.333
Pr: 0.000 0.875 0.501
Nd: 0.000 0.372 0.498
Nd: 0.000 0.628 0.003
Nd: 0.247 0.374 0.835

## Properties
Its distance to the lowest polymorph of the same formula is 0.016 eV/atom. The value obtained for the density of states at the Fermi level is 28.1 states/eV per cell. The value obtained for the electronic total energy is -4.69 eV per atom. As for the total magnetic moment: 0.0 Bohr magnetons per cell. The energy of formation from the pure elements comes out at 0.030 eV per atom. The crystal system is orthorhombic.

***

# 8
Material: PPtBr2
Method: DFT, PBE
State: relaxed

Cell: 6.239 7.421 7.443 Å, 90.00 90.00 90.00°
Space group Fmmm (No. 69)
Unique sites:
P: 0.000 0.000 0.000
Pt: 0.000 0.000 0.500
Br: 0.000 0.250 0.250

## Properties
The value obtained for the density of states at the Fermi level is 10.2 states/eV per cell. The value obtained for the electronic total energy is -3.11 eV per atom. As for the total magnetic moment: 0.0 Bohr magnetons per cell. The crystal system is orthorhombic.

***

# 9
Material: KMnSb2
Method: DFT, PBE
State: relaxed

Cell: 7.085 7.085 7.085 Å, 90.00 90.00 90.00°
Space group Fm-3m (No. 225)
Unique sites:
K: 0.000 0.000 0.000
Mn: 0.000 0.000 0.500
Sb: 0.250 0.250 0.250

## Properties
Its distance to the lowest polymorph of the same formula is 0.794 eV/atom. The value obtained for the density of states at the Fermi level is 16.5 states/eV per cell. The value obtained for the electronic total energy is -3.99 eV per atom. As for the total magnetic moment: 0.0 Bohr magnetons per cell. The crystal system is cubic.

***

# 10
Material: K2TlAg
Method: DFT, PBE
State: relaxed

Cell: 5.284 5.284 9.724 Å, 90.00 90.00 90.00°
Space group I-4m2 (No. 119)
Unique sites:
K: 0.000 0.000 0.000
K: 0.000 0.500 0.250
Tl: 0.000 0.500 0.750
Ag: 0.000 0.000 0.500

## Properties
Its distance to the lowest polymorph of the same formula is 0.102 eV/atom. The value obtained for the density of states at the Fermi level is 5.9 states/eV per cell. The value obtained for the electronic total energy is -1.78 eV per atom. As for the total magnetic moment: 0.0 Bohr magnetons per cell. The energy of formation from the pure elements comes out at 0.072 eV per atom. The crystal system is tetragonal.

***

# 11
Material: MgIn2Ru
Method: DFT, PBE
State: relaxed

Cell: 3.2252 3.2252 27.1815 Å, 90.00 90.00 120.00°
Space group R-3m (No. 166, hexagonal axes)
Unique sites:
Mg: 0.0000 0.0000 0.0000
In: 0.0000 0.0000 0.2417
Ru: 0.0000 0.0000 0.5000

## Properties
The value obtained for the density of states at the Fermi level is 9.4 states/eV per cell. The value obtained for the electronic total energy is -3.96 eV per atom. As for the total magnetic moment: 0.9 Bohr magnetons per cell. The energy of formation from the pure elements comes out at 0.124 eV per atom. The crystal system is trigonal.

***

# 12
Material: Co2AsAu
Method: DFT, PBE
State: relaxed

Cell: 3.785 3.785 7.889 Å, 90.00 90.00 90.00°
Space group I-4m2 (No. 119)
Unique sites:
Co: 0.000 0.000 0.000
Co: 0.000 0.500 0.250
As: 0.000 0.500 0.750
Au: 0.000 0.000 0.500

## Properties
The value obtained for the density of states at the Fermi level is 8.5 states/eV per cell. The value obtained for the electronic total energy is -5.25 eV per atom. As for the total magnetic moment: 5.9 Bohr magnetons per cell. The energy of formation from the pure elements comes out at 0.288 eV per atom. The crystal system is tetragonal.

***

- Number 8 is which compound?
  PPtBr2